Computed, not measured: a geometry-optimized Mg2CoO4 structure at the GGA-PBEsol level of DFT.

abc: 5.8913 5.8913 5.8913
angles: 60.00 60.00 60.00
Closest atoms and distances in Å follow each position.
Sites, in units of the cell vectors:
Mg 0.0000 0.0000 0.0000  6 O 2.07
Mg 0.0000 0.0000 0.5000  6 O 2.07
Mg 0.0000 0.5000 0.0000  6 O 2.07
Mg 0.5000 0.0000 0.0000  6 O 2.07
Co 0.3750 0.3750 0.3750  4 O 1.82
Co 0.6250 0.6250 0.6250  4 O 1.82
O 0.2466 0.7511 0.7511  1 Co 1.82
O 0.2489 0.2489 0.2489  1 Co 1.82
O 0.2489 0.2489 0.7534  1 Co 1.82
O 0.2489 0.7534 0.2489  1 Co 1.82
O 0.7511 0.2466 0.7511  1 Co 1.82
O 0.7511 0.7511 0.2466  1 Co 1.82
O 0.7511 0.7511 0.7511  1 Co 1.82
O 0.7534 0.2489 0.2489  1 Co 1.82

As for the density: 3.9 g cm⁻³. For the formation energy without anion corrections, the calculation gives -1.7898 eV/atom.



Computed, not measured: a geometry-optimized MgCoO3 structure at the GGA-PBEsol level of DFT.

abc: 5.3076 5.3076 5.3076
angles: 54.85 54.85 54.85
Closest atoms and distances in Å follow each position.
Sites, in units of the cell vectors:
Mg 0.1391 0.1391 0.1391  6 O 2.01-2.17
Mg 0.8609 0.8609 0.8609  6 O 2.01-2.17
Co 0.3393 0.3393 0.3393  6 O 1.86-1.87
Co 0.6607 0.6607 0.6607  6 O 1.86-1.87
O 0.0613 0.4570 0.7119  2 Co 1.86-1.87, 1 Mg 2.01
O 0.2881 0.9387 0.5430  2 Co 1.86-1.87, 1 Mg 2.01
O 0.4570 0.7119 0.0613  2 Co 1.86-1.87, 1 Mg 2.01
O 0.5430 0.2881 0.9387  2 Co 1.86-1.87, 1 Mg 2.01
O 0.7119 0.0613 0.4570  2 Co 1.86-1.87, 1 Mg 2.01
O 0.9387 0.5430 0.2881  2 Co 1.86-1.87, 1 Mg 2.01

As for the density: 4.7 g cm⁻³. For the formation energy without anion corrections, the calculation gives -1.6459 eV/atom.



Which of these has the lowest density?
Mg2CoO4



Look up the formation energy without anion corrections of the first one.
-1.7898 eV/atom



Among the records above, which one has the highest density?
MgCoO3